[1]
Here is a geometry-optimized RbSrEu structure from Alexandria via LeMat-Bulk. Energies are from PBE.

Lattice parameters (Å, degrees): 4.2731 4.2731 11.1291 90.00 90.00 120.00
Last column: nearest neighbours and their distance in Å.
Fractional coordinates of all 3 atoms:
Eu 0.6667 0.3333 0.3494  3 Sr 4.13, 6 Eu 4.27, 3 Rb 4.57
Sr 0.3333 0.6667 0.6465  3 Eu 4.13, 6 Sr 4.27
Rb 0.0000 0.0000 0.0041  6 Rb 4.27, 3 Eu 4.57, 3 Sr 4.68

E above lowest polymorph: 0.00 eV per formula unit
Total magnetic moment: 2.48 μB/atom
Formation energy from the elements: 0.138 eV per atom

---

[2]
Here is a geometry-optimized CuSn3W structure from Alexandria via LeMat-Bulk. Energies are from PBE.

Lattice parameters (Å, degrees): 4.9857 4.9857 4.9857 90.00 90.00 90.00
Last column: nearest neighbours and their distance in Å.
Fractional coordinates of all 5 atoms:
Cu 0.0000 0.0000 0.0000  6 Sn 2.49
Sn 0.0000 0.5000 0.0000  2 Cu 2.49
Sn 0.0000 0.0000 0.5000  2 Cu 2.49
Sn 0.5000 0.0000 0.0000  2 Cu 2.49
W 0.5000 0.5000 0.5000  12 Sn 3.53

E above lowest polymorph: 2.11 eV per formula unit
Total magnetic moment: 0.69 μB/atom
Formation energy from the elements: 1.183 eV per atom

---

[3]
Here is a geometry-optimized Pm2ScBr2N2 structure from Alexandria via LeMat-Bulk. Energies are from PBE.

Lattice parameters (Å, degrees): 4.2443 4.2443 9.2224 103.30 103.30 90.00
Last column: nearest neighbours and their distance in Å.
Fractional coordinates of all 7 atoms:
Pm 0.4159 0.4159 0.8318  4 N 2.58
Pm 0.5841 0.5841 0.1682  4 N 2.58
Sc 0.0000 0.0000 0.0000  4 N 2.12
Br 0.1660 0.1660 0.3319  1 Sc 2.89
Br 0.8340 0.8340 0.6681  1 Sc 2.89
N 0.0000 0.5000 0.0000  2 Sc 2.12
N 0.5000 0.0000 0.0000  2 Sc 2.12

Total magnetic moment: 0.14 μB/atom
Raw formation energy: -35.37 kcal/mol of atoms

---

[4]
Here is a geometry-optimized NdHo3Co8 structure from Alexandria via LeMat-Bulk. Energies are from PBE.

Lattice parameters (Å, degrees): 5.0807 5.0807 8.8156 73.25 73.25 60.00
Last column: nearest neighbours and their distance in Å.
Fractional coordinates of all 12 atoms:
Nd 0.8749 0.8749 0.3754  12 Co 2.98-3.02, 4 Ho 3.11-3.13
Ho 0.3752 0.3752 0.8745  12 Co 2.95-2.98, 4 Ho 3.11
Ho 0.0002 0.0002 0.9993  12 Co 2.94-2.98, 3 Ho 3.11, 1 Nd 3.13
Ho 0.4997 0.4997 0.5010  12 Co 2.98-3.03, 1 Ho 3.11, 3 Nd 3.11
Co 0.9413 0.4380 0.1827  6 Co 2.52-2.58
Co 0.4323 0.9379 0.6918  6 Co 2.51-2.57
Co 0.4380 0.4380 0.1827  6 Co 2.52-2.58
Co 0.9379 0.9379 0.6918  6 Co 2.51-2.57
Co 0.1870 0.1870 0.4389  6 Co 2.55-2.58
Co 0.6876 0.6876 0.9371  6 Co 2.52
Co 0.4380 0.9413 0.1827  6 Co 2.52-2.58
Co 0.9379 0.4323 0.6918  6 Co 2.51-2.57

Total magnetic moment: 0.63 μB/atom
Formation energy from the elements: -0.171 eV per atom

---

[5]
Here is a geometry-optimized AlMo3Cl structure from Alexandria via LeMat-Bulk. Energies are from PBE.

Lattice parameters (Å, degrees): 4.4010 4.4010 4.4010 90.00 90.00 90.00
Last column: nearest neighbours and their distance in Å.
Fractional coordinates of all 5 atoms:
Mo 0.0000 0.5000 0.0000  2 Cl 2.20
Mo 0.0000 0.0000 0.5000  2 Cl 2.20
Mo 0.5000 0.0000 0.0000  2 Cl 2.20
Al 0.5000 0.5000 0.5000  12 Mo 3.11
Cl 0.0000 0.0000 0.0000  6 Mo 2.20

Total magnetic moment: 0.00 μB/atom
Raw formation energy: 20.30 kcal/mol of atoms

---

[6]
Here is a geometry-optimized BaMnSb2Se4 structure from Alexandria via LeMat-Bulk. Energies are from PBE.

Lattice parameters (Å, degrees): 4.7242 7.2246 14.4507 90.00 90.00 109.08
Last column: nearest neighbours and their distance in Å.
Fractional coordinates of all 16 atoms:
Ba 0.1161 0.2322 0.7500  6 Se 3.34-3.50
Ba 0.8839 0.7678 0.2500  6 Se 3.34-3.50
Mn 0.8404 0.6808 0.7500  4 Se 2.49-2.64
Mn 0.1596 0.3192 0.2500  4 Se 2.49-2.64
Sb 0.3906 0.7812 0.5395  4 Se 2.76-3.08
Sb 0.6094 0.2188 0.0395  4 Se 2.76-3.08
Sb 0.6094 0.2188 0.4605  4 Se 2.76-3.08
Sb 0.3906 0.7812 0.9605  4 Se 2.76-3.08
Se 0.2791 0.5582 0.1202  1 Mn 2.49, 1 Sb 2.76
Se 0.7209 0.4418 0.6202  1 Mn 2.49, 1 Sb 2.76
Se 0.7209 0.4418 0.8798  1 Mn 2.49, 1 Sb 2.76
Se 0.2791 0.5582 0.3798  1 Mn 2.49, 1 Sb 2.76
Se 0.0000 0.0000 0.5000  4 Sb 2.85
Se 0.0000 0.0000 0.0000  4 Sb 2.85
Se 0.4272 0.8543 0.7500  2 Mn 2.64
Se 0.5728 0.1457 0.2500  2 Mn 2.64

Total magnetic moment: 0.60 μB/atom
Raw formation energy: -12.87 kcal/mol of atoms

---

[7]
Here is a geometry-optimized Tb2TmZn structure from Alexandria via LeMat-Bulk. Energies are from PBE.

Lattice parameters (Å, degrees): 3.5652 3.5652 8.5333 90.00 90.00 90.00
Last column: nearest neighbours and their distance in Å.
Fractional coordinates of all 4 atoms:
Zn 0.5000 0.5000 0.0000  8 Tb 3.09
Tm 0.5000 0.5000 0.5000  8 Tb 3.53, 4 Tm 3.57
Tb 0.0000 0.0000 0.7902  4 Zn 3.09
Tb 0.0000 0.0000 0.2098  4 Zn 3.09

E above lowest polymorph: 0.00 eV per formula unit
Total magnetic moment: 0.00 μB/atom
Formation energy from the elements: -0.155 eV per atom

---

[8]
Here is a geometry-optimized PuPaPd structure from Alexandria via LeMat-Bulk. Energies are from PBE.

Lattice parameters (Å, degrees): 5.2549 5.1444 5.2327 65.88 89.99 90.00
Last column: nearest neighbours and their distance in Å.
Fractional coordinates of all 6 atoms:
Pa 0.5497 0.9578 0.2439  2 Pu 2.77-2.81, 4 Pd 2.87-3.02
Pa 0.0498 0.0479 0.7522  2 Pu 2.77-2.81, 4 Pd 2.87-3.02
Pu 0.1716 0.3669 0.0607  2 Pa 2.77-2.81, 2 Pu 2.92, 1 Pd 3.06
Pu 0.6716 0.6387 0.9353  2 Pa 2.77-2.81, 2 Pu 2.92, 1 Pd 3.06
Pd 0.0333 0.6846 0.4239  4 Pa 2.87-3.02, 3 Pu 3.06-3.21, 2 Pd 3.13
Pd 0.5335 0.3210 0.5721  4 Pa 2.87-3.02, 3 Pu 3.06-3.21, 2 Pd 3.13

E above lowest polymorph: 0.18 eV per formula unit
Total magnetic moment: 1.89 μB/atom
Formation energy from the elements: -0.280 eV per atom

---

[9]
Here is a geometry-optimized Rb2BaSiO4 structure from Alexandria via LeMat-Bulk. Energies are from PBE.

Lattice parameters (Å, degrees): 6.2134 6.7021 14.1133 84.14 77.28 62.38
Last column: nearest neighbours and their distance in Å.
Fractional coordinates of all 16 atoms:
Rb 0.2010 0.0000 0.5979  4 O 3.02-3.23
Rb 0.7990 0.0000 0.4021  4 O 3.02-3.23
Rb 0.5490 0.5000 0.9021  4 O 3.02-3.23
Rb 0.9510 0.5000 0.0979  4 O 3.02-3.23
Ba 0.7500 0.5000 0.5000  4 O 2.52
Ba 0.0000 0.0000 0.0000  4 O 2.52
Si 0.2500 0.5000 0.5000  4 O 1.67
Si 0.5000 0.0000 0.0000  4 O 1.67
O 0.3951 0.8285 0.0645  1 Si 1.67
O 0.2880 0.1715 0.9355  1 Si 1.67
O 0.7765 0.8285 0.9355  1 Si 1.67
O 0.5404 0.1715 0.0645  1 Si 1.67
O 0.3549 0.6715 0.4355  1 Si 1.67
O 0.4620 0.3285 0.5645  1 Si 1.67
O 0.9735 0.6715 0.5645  1 Si 1.67
O 0.2096 0.3285 0.4355  1 Si 1.67

Total magnetic moment: 0.00 μB/atom
Raw formation energy: -46.48 kcal/mol of atoms

---

[10]
Here is a geometry-optimized MgSiAu2 structure from Alexandria via LeMat-Bulk. Energies are from PBE.

Lattice parameters (Å, degrees): 5.5486 5.5486 2.9684 74.26 74.26 115.78
Last column: nearest neighbours and their distance in Å.
Fractional coordinates of all 4 atoms:
Au 0.0000 0.0000 0.0000  2 Mg 2.77, 2 Si 2.77, 6 Au 2.93-2.97
Au 0.5000 0.5000 0.0000  2 Si 2.77, 2 Mg 2.77, 6 Au 2.93-2.97
Mg 0.5000 0.0000 0.5000  4 Au 2.77, 4 Si 2.93-2.95, 2 Mg 2.97
Si 0.0000 0.5000 0.5000  4 Au 2.77, 4 Mg 2.93-2.95, 2 Si 2.97

Total magnetic moment: 0.00 μB/atom
Raw formation energy: -1.32 kcal/mol of atoms

---

[11]
Here is a geometry-optimized SrGeP2S structure from Alexandria via LeMat-Bulk. Energies are from PBE.

Lattice parameters (Å, degrees): 5.4234 5.4234 5.3834 90.00 90.00 90.00
Last column: nearest neighbours and their distance in Å.
Fractional coordinates of all 5 atoms:
Sr 0.0000 0.0000 0.0000  2 S 2.69, 4 P 2.71
Ge 0.5000 0.5000 0.5000  8 P 3.82, 4 S 3.83
S 0.0000 0.0000 0.5000  2 Sr 2.69
P 0.0000 0.5000 0.0000  2 Sr 2.71
P 0.5000 0.0000 0.0000  2 Sr 2.71

E above lowest polymorph: 6.02 eV per formula unit
Total magnetic moment: 0.14 μB/atom
Raw formation energy: 25.52 kcal/mol of atoms

---

[12]
Here is a geometry-optimized BaSrLiPt structure from Alexandria via LeMat-Bulk. Energies are from PBE.

Lattice parameters (Å, degrees): 4.4976 4.4976 8.4156 90.00 105.49 120.01
Last column: nearest neighbours and their distance in Å.
Fractional coordinates of all 4 atoms:
Ba 0.9982 0.8637 0.8620  3 Pt 3.36-3.37, 3 Li 3.38
Sr 0.3391 0.0344 0.3735  3 Li 3.24, 3 Pt 3.25
Li 0.8450 0.2869 0.1319  3 Pt 2.60
Pt 0.5098 0.6194 0.1292  3 Li 2.60

E above lowest polymorph: 0.00 eV per formula unit
Total magnetic moment: 0.00 μB/atom
Formation energy from the elements: -0.489 eV per atom